Run a
A plane-wave DFT calculation with PBE was carried out for crystalline HfRuPb2F at its relaxed geometry.

## Properties
D(E_F) = 1.31 states/eV/atom
Symmetry = P4/mmm

Lattice parameters (Å, degrees): 5.0457 5.0457 4.1446 90.00 90.00 90.00
Sites, in units of the cell vectors:
Hf: 0.0000 0.0000 0.0000
Ru: 0.5000 0.5000 0.0000
Pb: 0.0000 0.5000 0.5000
Pb: 0.5000 0.0000 0.5000
F: 0.0000 0.0000 0.5000

=====

Run b
A plane-wave DFT calculation with PBE was carried out for crystalline HfRuPb2F at its relaxed geometry.

## Properties
D(E_F) = 1.40 states/eV/atom
Symmetry = P4/mmm

Lattice parameters (Å, degrees): 5.7022 5.7022 3.9596 90.00 90.00 90.00
Sites, in units of the cell vectors:
Hf: 0.0000 0.0000 0.0000
Ru: 0.5000 0.5000 0.5000
Pb: 0.0000 0.5000 0.0000
Pb: 0.5000 0.0000 0.0000
F: 0.0000 0.0000 0.5000

=====

The data favor run b; the next most stable structure lies 0.010 eV/atom above it.